Zn3Co: optimized geometry, PBEsol.

Properties
Crystal system: orthorhombic
Size of the total moment in μB/atom: 0.001
Space-group type: Pmm2 (25)
N(E_F) in states/eV per cell: 2.8
Energy in eV/atom: -3.14

Cell and atoms, written as extended XYZ:
```
4
Lattice="2.7207 0.0000 0.0000 0.0000 4.1203 0.0000 0.0000 0.0000 4.4174" Properties=species:S:1:pos:R:3 pbc="T T T"
Zn 0.0000 0.0000 0.0000
Zn 0.0000 2.0601 1.5752
Zn 1.3603 2.0601 3.6899
Co 1.3603 0.0000 2.2063
```

=====

Zn3Co: optimized geometry, PBEsol.

Properties
Crystal system: tetragonal
Size of the total moment in μB/atom: 0.000
Space-group type: P4/mmm (123)
N(E_F) in states/eV per cell: 2.3
Energy in eV/atom: -3.12

Cell and atoms, written as extended XYZ:
```
4
Lattice="2.8244 0.0000 0.0000 0.0000 2.8244 0.0000 0.0000 0.0000 6.3101" Properties=species:S:1:pos:R:3 pbc="T T T"
Zn 0.0000 0.0000 0.0000
Zn 1.4122 1.4122 1.7379
Zn 1.4122 1.4122 4.5722
Co 0.0000 0.0000 3.1550
```

=====

ZnCo2: optimized geometry, PBEsol.

Properties
Crystal system: orthorhombic
Size of the total moment in μB/atom: 0.929
Space-group type: Cmcm (63)
N(E_F) in states/eV per cell: 5.6
Energy in eV/atom: -5.67

Cell and atoms, written as extended XYZ:
```
6
Lattice="1.2740 -6.4003 0.0000 1.2740 6.4003 0.0000 0.0000 0.0000 4.0845" Properties=species:S:1:pos:R:3 pbc="T T T"
Zn 1.2740 5.0012 3.0634
Zn 1.2740 -5.0012 1.0211
Co 1.2740 3.5722 1.0211
Co 1.2740 0.7496 3.0634
Co 1.2740 -0.7496 1.0211
Co 1.2740 -3.5722 3.0634
```

=====

Zn5Co4: optimized geometry, PBEsol.

Properties
Crystal system: tetragonal
Size of the total moment in μB/atom: 0.429
Space-group type: I4/mmm (139)
N(E_F) in states/eV per cell: 8.0
Energy in eV/atom: -4.33

Cell and atoms, written as extended XYZ:
```
9
Lattice="-3.7879 3.7879 1.8371 3.7879 -3.7879 1.8371 3.7879 3.7879 -1.8371" Properties=species:S:1:pos:R:3 pbc="T T T"
Zn 0.0000 0.0000 0.0000
Zn 2.4953 2.4953 0.0000
Zn 1.2925 -1.2925 1.8371
Zn -1.2925 1.2925 1.8371
Zn 1.2925 1.2925 1.8371
Co 2.6095 0.0000 0.0000
Co 4.9663 0.0000 0.0000
Co 0.0000 2.6095 0.0000
Co 0.0000 4.9663 0.0000
```

=====

ZnCo3: optimized geometry, PBEsol.

Properties
Crystal system: orthorhombic
Size of the total moment in μB/atom: 1.089
Space-group type: Pmmn (59)
N(E_F) in states/eV per cell: 8.9
Energy in eV/atom: -6.16

Cell and atoms, written as extended XYZ:
```
8
Lattice="4.0652 0.0000 0.0000 0.0000 4.9874 0.0000 0.0000 0.0000 4.3083" Properties=species:S:1:pos:R:3 pbc="T T T"
Zn 1.0163 1.2469 0.6962
Zn 3.0489 3.7406 3.6121
Co 1.0163 2.5131 2.8516
Co 1.0163 3.7406 0.7396
Co 1.0163 4.9680 2.8516
Co 3.0489 0.0194 1.4567
Co 3.0489 1.2469 3.5687
Co 3.0489 2.4743 1.4567
```

=====

Zn3Co: optimized geometry, PBEsol.

Properties
Crystal system: hexagonal
Size of the total moment in μB/atom: 0.000
Space-group type: P6_3/mmc (194)
N(E_F) in states/eV per cell: 5.2
Energy in eV/atom: -3.19

Cell and atoms, written as extended XYZ:
```
8
Lattice="5.2055 0.0000 0.0000 -2.6028 4.5081 0.0000 0.0000 0.0000 4.1848" Properties=species:S:1:pos:R:3 pbc="T T T"
Zn 0.0000 1.5404 1.0462
Zn -1.2688 3.7379 1.0462
Zn 1.3340 0.7702 3.1386
Zn 1.2688 3.7379 1.0462
Zn 3.8715 0.7702 3.1386
Zn 2.6028 2.9678 3.1386
Co 0.0000 3.0054 3.1386
Co 2.6028 1.5027 1.0462
```

=====

ZnCo: optimized geometry, PBEsol.

Properties
Crystal system: tetragonal
Size of the total moment in μB/atom: 0.517
Space-group type: P4/mmm (123)
N(E_F) in states/eV per cell: 3.6
Energy in eV/atom: -4.63

Cell and atoms, written as extended XYZ:
```
2
Lattice="2.5675 0.0000 0.0000 0.0000 2.5675 0.0000 0.0000 0.0000 3.4952" Properties=species:S:1:pos:R:3 pbc="T T T"
Zn 0.0000 0.0000 0.0000
Co 1.2838 1.2838 1.7476
```

=====

ZnCo: optimized geometry, PBEsol.

Properties
Crystal system: tetragonal
Size of the total moment in μB/atom: 0.626
Space-group type: I4_1/amd (141)
N(E_F) in states/eV per cell: 4.1
Energy in eV/atom: -4.63

Cell and atoms, written as extended XYZ:
```
4
Lattice="-1.8548 1.8548 3.3650 1.8548 -1.8548 3.3650 1.8548 1.8548 -3.3650" Properties=species:S:1:pos:R:3 pbc="T T T"
Zn 1.8548 0.9274 0.8413
Zn 0.0000 0.9274 2.5238
Co 1.8548 -0.9274 2.5238
Co 0.0000 2.7822 0.8413
```

=====

ZnCo: optimized geometry, PBEsol.

Properties
Crystal system: monoclinic
Size of the total moment in μB/atom: 0.511
Space-group type: C2/m (12)
N(E_F) in states/eV per cell: 4.9
Energy in eV/atom: -4.65

Cell and atoms, written as extended XYZ:
```
4
Lattice="4.6199 -1.2846 0.0000 4.6199 1.2846 0.0000 -1.8888 0.0000 3.8891" Properties=species:S:1:pos:R:3 pbc="T T T"
Zn 0.5256 0.0000 1.1738
Zn 6.8254 0.0000 2.7154
Co 3.0243 0.0000 0.7326
Co 4.3267 0.0000 3.1565
```

=====

Zn5Co: optimized geometry, PBEsol.

Properties
Crystal system: hexagonal
Size of the total moment in μB/atom: 0.186
Space-group type: P6/mmm (191)
N(E_F) in states/eV per cell: 4.6
Energy in eV/atom: -2.33

Cell and atoms, written as extended XYZ:
```
6
Lattice="4.8074 0.0000 0.0000 -2.4037 4.1634 0.0000 0.0000 0.0000 4.2020" Properties=species:S:1:pos:R:3 pbc="T T T"
Zn -1.2019 2.0817 0.0000
Zn 0.0000 2.7756 2.1010
Zn 2.4037 0.0000 0.0000
Zn 1.2019 2.0817 0.0000
Zn 2.4037 1.3878 2.1010
Co 0.0000 0.0000 2.1010
```

=====

Zn5Co3: optimized geometry, PBEsol.

Properties
Crystal system: orthorhombic
Size of the total moment in μB/atom: 0.136
Space-group type: Cmmm (65)
N(E_F) in states/eV per cell: 7.6
Energy in eV/atom: -3.92

Cell and atoms, written as extended XYZ:
```
8
Lattice="3.4930 -3.6407 0.0000 3.4930 3.6407 0.0000 0.0000 0.0000 3.7135" Properties=species:S:1:pos:R:3 pbc="T T T"
Zn 0.0000 0.0000 0.0000
Zn 1.7465 1.8203 0.0000
Zn 1.8681 0.0000 1.8568
Zn 1.7465 -1.8203 0.0000
Zn 5.1180 0.0000 1.8568
Co 3.4930 1.8957 1.8568
Co 3.4930 0.0000 0.0000
Co 3.4930 -1.8957 1.8568
```

=====

ZnCo2: optimized geometry, PBEsol.

Properties
Crystal system: trigonal
Size of the total moment in μB/atom: 0.943
Space-group type: P-3m1 (164)
N(E_F) in states/eV per cell: 2.7
Energy in eV/atom: -5.67

Cell and atoms, written as extended XYZ:
```
3
Lattice="2.5214 0.0000 0.0000 -1.2607 2.1836 0.0000 0.0000 0.0000 6.1081" Properties=species:S:1:pos:R:3 pbc="T T T"
Zn 0.0000 0.0000 0.0000
Co 0.0000 1.4557 3.9919
Co 1.2607 0.7279 2.1161
```

=====

ZnCo: optimized geometry, PBEsol.

Properties
Crystal system: monoclinic
Size of the total moment in μB/atom: 0.566
Space-group type: Cm (8)
N(E_F) in states/eV per cell: 6.4
Energy in eV/atom: -4.65

Cell and atoms, written as extended XYZ:
```
6
Lattice="4.8014 -1.3059 0.0000 4.8014 1.3059 0.0000 -1.6349 0.0000 5.8578" Properties=species:S:1:pos:R:3 pbc="T T T"
Zn 0.0000 0.0000 0.0000
Zn -0.5510 0.0000 3.5587
Zn 3.1461 0.0000 1.5701
Co 1.9654 0.0000 3.8842
Co 5.8195 0.0000 1.9908
Co 5.3817 0.0000 5.4674
```

=====

ZnCo5: optimized geometry, PBEsol.

Properties
Crystal system: orthorhombic
Size of the total moment in μB/atom: 1.232
Space-group type: Cmmm (65)
N(E_F) in states/eV per cell: 7.2
Energy in eV/atom: -6.68

Cell and atoms, written as extended XYZ:
```
6
Lattice="1.7626 -5.1869 0.0000 1.7626 5.1869 0.0000 0.0000 0.0000 3.5174" Properties=species:S:1:pos:R:3 pbc="T T T"
Zn 0.0000 0.0000 0.0000
Co 1.7626 3.4167 1.7587
Co 1.7626 1.7910 0.0000
Co 1.7626 0.0000 1.7587
Co 1.7626 -1.7910 0.0000
Co 1.7626 -3.4167 1.7587
```

=====

Zn3Co: optimized geometry, PBEsol.

Properties
Crystal system: tetragonal
Size of the total moment in μB/atom: 0.001
Space-group type: I4/mmm (139)
N(E_F) in states/eV per cell: 2.2
Energy in eV/atom: -3.17

Cell and atoms, written as extended XYZ:
```
4
Lattice="-1.7863 1.7863 3.8543 1.7863 -1.7863 3.8543 1.7863 1.7863 -3.8543" Properties=species:S:1:pos:R:3 pbc="T T T"
Zn 0.0000 0.0000 0.0000
Zn 1.7863 0.0000 1.9272
Zn 0.0000 1.7863 1.9272
Co 0.0000 0.0000 3.8543
```

=====

Zn2Co: optimized geometry, PBEsol.

Properties
Crystal system: orthorhombic
Size of the total moment in μB/atom: 0.000
Space-group type: Cmcm (63)
N(E_F) in states/eV per cell: 4.1
Energy in eV/atom: -3.67

Cell and atoms, written as extended XYZ:
```
6
Lattice="1.3938 -6.3114 0.0000 1.3938 6.3114 0.0000 0.0000 0.0000 4.0743" Properties=species:S:1:pos:R:3 pbc="T T T"
Zn 1.3938 5.5231 3.0558
Zn 1.3938 2.9403 1.0186
Zn 1.3938 -2.9403 3.0558
Zn 1.3938 -5.5231 1.0186
Co 1.3938 1.2832 3.0558
Co 1.3938 -1.2832 1.0186
```

=====

Zn2Co: optimized geometry, PBEsol.

Properties
Crystal system: tetragonal
Size of the total moment in μB/atom: 0.192
Space-group type: I4_1/amd (141)
N(E_F) in states/eV per cell: 11.2
Energy in eV/atom: -3.67

Cell and atoms, written as extended XYZ:
```
12
Lattice="-1.8125 1.8125 10.9562 1.8125 -1.8125 10.9562 1.8125 1.8125 -10.9562" Properties=species:S:1:pos:R:3 pbc="T T T"
Zn 1.8125 0.9063 -2.7530
Zn 1.8125 0.9063 0.8364
Zn 0.0000 0.9063 2.7252
Zn 1.8125 0.9063 4.6417
Zn 0.0000 0.9063 6.3145
Zn 1.8125 0.9063 8.2311
Zn 0.0000 0.9063 10.1199
Zn 0.0000 0.9063 13.7092
Co 1.8125 -0.9063 6.4378
Co 1.8125 -0.9063 9.9966
Co 0.0000 2.7188 0.9597
Co 0.0000 2.7188 4.5184
```

=====

ZnCo2: optimized geometry, PBEsol.

Properties
Crystal system: tetragonal
Size of the total moment in μB/atom: 0.850
Space-group type: I4/mmm (139)
N(E_F) in states/eV per cell: 2.2
Energy in eV/atom: -5.71

Cell and atoms, written as extended XYZ:
```
3
Lattice="-1.2860 1.2860 5.0317 1.2860 -1.2860 5.0317 1.2860 1.2860 -5.0317" Properties=species:S:1:pos:R:3 pbc="T T T"
Zn 0.0000 0.0000 0.0000
Co 0.0000 0.0000 3.2642
Co 0.0000 0.0000 6.7992
```

=====

ZnCo: optimized geometry, PBEsol.

Properties
Crystal system: orthorhombic
Size of the total moment in μB/atom: 0.616
Space-group type: Pnma (62)
N(E_F) in states/eV per cell: 8.0
Energy in eV/atom: -4.65

Cell and atoms, written as extended XYZ:
```
8
Lattice="4.3690 0.0000 0.0000 0.0000 4.1340 0.0000 0.0000 0.0000 5.1225" Properties=species:S:1:pos:R:3 pbc="T T T"
Zn 0.3649 1.0335 0.6391
Zn 1.8196 3.1005 3.2004
Zn 2.5494 1.0335 1.9221
Zn 4.0041 3.1005 4.4834
Co 0.2889 1.0335 3.1979
Co 1.8956 3.1005 0.6367
Co 2.4734 1.0335 4.4858
Co 4.0801 3.1005 1.9246
```

=====

Zn3Co: optimized geometry, PBEsol.

Properties
Crystal system: hexagonal
Size of the total moment in μB/atom: 0.314
Space-group type: P-6m2 (187)
N(E_F) in states/eV per cell: 3.2
Energy in eV/atom: -3.11

Cell and atoms, written as extended XYZ:
```
4
Lattice="2.6436 0.0000 0.0000 -1.3218 2.2894 0.0000 0.0000 0.0000 8.4279" Properties=species:S:1:pos:R:3 pbc="T T T"
Zn 0.0000 0.0000 0.0000
Zn 1.3218 0.7631 2.2388
Zn 1.3218 0.7631 6.1891
Co 0.0000 0.0000 4.2139
```

=====

ZnCo5: optimized geometry, PBEsol.

Properties
Crystal system: hexagonal
Size of the total moment in μB/atom: 1.237
Space-group type: P-62m (189)
N(E_F) in states/eV per cell: 4.4
Energy in eV/atom: -6.69

Cell and atoms, written as extended XYZ:
```
6
Lattice="4.2784 0.0000 0.0000 -2.1392 3.7052 0.0000 0.0000 0.0000 4.0406" Properties=species:S:1:pos:R:3 pbc="T T T"
Zn 0.0000 0.0000 0.0000
Co -0.7195 1.2462 2.0203
Co 0.0000 2.4702 0.0000
Co 1.4390 0.0000 2.0203
Co 1.4197 2.4590 2.0203
Co 2.1392 1.2351 0.0000
```

=====

ZnCo3: optimized geometry, PBEsol.

Properties
Crystal system: cubic
Size of the total moment in μB/atom: 1.067
Space-group type: Fm-3m (225)
N(E_F) in states/eV per cell: 4.3
Energy in eV/atom: -6.14

Cell and atoms, written as extended XYZ:
```
4
Lattice="0.0000 2.7944 2.7944 2.7944 0.0000 2.7944 2.7944 2.7944 0.0000" Properties=species:S:1:pos:R:3 pbc="T T T"
Zn 0.0000 0.0000 0.0000
Co 1.3972 1.3972 1.3972
Co 2.7944 2.7944 2.7944
Co 4.1917 4.1917 4.1917
```

=====

ZnCo2: optimized geometry, PBEsol.

Properties
Crystal system: tetragonal
Size of the total moment in μB/atom: 0.881
Space-group type: I4_1/amd (141)
N(E_F) in states/eV per cell: 17.3
Energy in eV/atom: -5.62

Cell and atoms, written as extended XYZ:
```
12
Lattice="-1.7704 1.7704 10.6353 1.7704 -1.7704 10.6353 1.7704 1.7704 -10.6353" Properties=species:S:1:pos:R:3 pbc="T T T"
Zn 1.7704 0.8852 0.9163
Zn 1.7704 0.8852 4.4014
Zn 0.0000 0.8852 6.2339
Zn 0.0000 0.8852 9.7190
Co 1.7704 -0.8852 6.2617
Co 1.7704 0.8852 -2.6454
Co 1.7704 -0.8852 9.6912
Co 0.0000 0.8852 2.6723
Co 1.7704 0.8852 7.9630
Co 0.0000 2.6556 0.9441
Co 0.0000 0.8852 13.2806
Co 0.0000 2.6556 4.3736
```

=====

ZnCo3: optimized geometry, PBEsol.

Properties
Crystal system: tetragonal
Size of the total moment in μB/atom: 1.066
Space-group type: I4/mmm (139)
N(E_F) in states/eV per cell: 12.8
Energy in eV/atom: -6.13

Cell and atoms, written as extended XYZ:
```
8
Lattice="-1.7637 1.7637 7.0187 1.7637 -1.7637 7.0187 1.7637 1.7637 -7.0187" Properties=species:S:1:pos:R:3 pbc="T T T"
Zn 0.0000 0.0000 1.7470
Zn 0.0000 0.0000 12.2905
Co 1.7637 0.0000 0.0000
Co 1.7637 0.0000 3.5094
Co 0.0000 0.0000 5.2419
Co 0.0000 1.7637 0.0000
Co 0.0000 0.0000 8.7956
Co 0.0000 1.7637 3.5094
```

=====

ZnCo: optimized geometry, PBEsol.

Properties
Crystal system: trigonal
Size of the total moment in μB/atom: 0.740
Space-group type: P-3m1 (164)
N(E_F) in states/eV per cell: 2.5
Energy in eV/atom: -4.65

Cell and atoms, written as extended XYZ:
```
4
Lattice="2.5653 0.0000 0.0000 -1.2826 2.2216 0.0000 0.0000 0.0000 8.2675" Properties=species:S:1:pos:R:3 pbc="T T T"
Zn 0.0000 1.4811 2.9959
Zn 1.2826 0.7405 5.2716
Co 0.0000 1.4811 7.3408
Co 1.2826 0.7405 0.9267
```

=====

Zn2Co: optimized geometry, PBEsol.

Properties
Crystal system: hexagonal
Size of the total moment in μB/atom: 0.294
Space-group type: P-62m (189)
N(E_F) in states/eV per cell: 5.4
Energy in eV/atom: -3.62

Cell and atoms, written as extended XYZ:
```
9
Lattice="7.0884 0.0000 0.0000 -3.5442 6.1388 0.0000 0.0000 0.0000 2.5259" Properties=species:S:1:pos:R:3 pbc="T T T"
Zn -1.0695 1.8524 0.0000
Zn -2.2444 3.8875 1.2630
Zn 2.1390 0.0000 0.0000
Zn 1.2998 2.2513 1.2630
Zn 4.4888 0.0000 1.2630
Zn 2.4747 4.2863 0.0000
Co 0.0000 0.0000 1.2630
Co 0.0000 4.0925 0.0000
Co 3.5442 2.0463 0.0000
```

=====

Zn8Co: optimized geometry, PBEsol.

Properties
Crystal system: tetragonal
Size of the total moment in μB/atom: 0.000
Space-group type: I4/mmm (139)
N(E_F) in states/eV per cell: 3.4
Energy in eV/atom: -2.28

Cell and atoms, written as extended XYZ:
```
9
Lattice="-4.0137 4.0137 1.8338 4.0137 -4.0137 1.8338 4.0137 4.0137 -1.8338" Properties=species:S:1:pos:R:3 pbc="T T T"
Zn 2.6393 0.0000 0.0000
Zn 5.3881 0.0000 0.0000
Zn 0.0000 2.6393 0.0000
Zn 2.7176 2.7176 0.0000
Zn 1.2961 -1.2961 1.8338
Zn -1.2961 1.2961 1.8338
Zn 1.2961 1.2961 1.8338
Zn 0.0000 5.3881 0.0000
Co 0.0000 0.0000 0.0000
```